*A*
Below is La2ZrFe at its PBEsol-relaxed geometry, with properties calculated at the SCAN level.

Structure (extended XYZ):
```
8
Lattice="11.488 0.000 0.000 0.000 3.477 0.000 -2.515 0.000 4.863" Properties=species:S:1:pos:R:3 pbc="T T T"
La 0.000 0.000 0.000
La 0.512 0.000 3.405
La 5.744 1.738 0.000
La 6.257 1.738 3.405
Zr 2.802 1.738 1.528
Zr 8.546 0.000 1.528
Fe 4.387 0.000 2.187
Fe 10.131 1.738 2.187
```

Size of the total moment   0.518 μB per cell
Density   7.3 g cm⁻³

*B*
Below is La2ZrFe at its PBEsol-relaxed geometry, with properties calculated at the SCAN level.

Structure (extended XYZ):
```
8
Lattice="3.532 0.000 0.000 0.000 5.274 0.000 0.000 0.000 9.946" Properties=species:S:1:pos:R:3 pbc="T T T"
La 0.000 0.000 1.927
La 0.000 0.000 8.019
La 1.766 2.637 3.046
La 1.766 2.637 6.901
Zr 0.000 2.637 0.000
Zr 1.766 0.000 4.973
Fe 0.000 2.637 4.973
Fe 1.766 0.000 0.000
```

Size of the total moment   0.000 μB per cell
Density   7.6 g cm⁻³

*C*
Below is La2ZrFe at its PBEsol-relaxed geometry, with properties calculated at the SCAN level.

Structure (extended XYZ):
```
4
Lattice="5.313 0.000 0.000 0.000 5.313 0.000 0.000 0.000 3.414" Properties=species:S:1:pos:R:3 pbc="T T T"
La 0.000 2.656 0.000
La 2.656 0.000 0.000
Zr 0.000 0.000 1.707
Fe 2.656 2.656 1.707
```

Size of the total moment   2.345 μB per cell
Density   7.3 g cm⁻³

Verdict on stability: *C* comes out at the bottom.

*A*
Below is LaZr2Fe at its PBEsol-relaxed geometry, with properties calculated at the SCAN level.

Structure (extended XYZ):
```
8
Lattice="4.388 0.000 0.000 0.000 4.388 0.000 0.000 0.000 8.780" Properties=species:S:1:pos:R:3 pbc="T T T"
La 0.000 0.000 0.000
La 2.194 2.194 4.390
Zr 0.000 0.000 4.390
Zr 0.000 2.194 2.195
Zr 2.194 0.000 6.585
Zr 2.194 2.194 0.000
Fe 0.000 2.194 6.585
Fe 2.194 0.000 2.195
```

Size of the total moment   6.744 μB per cell
Density   7.4 g cm⁻³

*B*
Below is LaZr2Fe at its PBEsol-relaxed geometry, with properties calculated at the SCAN level.

Structure (extended XYZ):
```
8
Lattice="3.370 0.000 0.000 0.000 5.071 0.000 0.000 0.000 9.849" Properties=species:S:1:pos:R:3 pbc="T T T"
La 0.000 0.000 0.000
La 1.685 2.535 4.924
Zr 0.000 0.000 3.918
Zr 0.000 2.535 2.021
Zr 1.685 0.000 6.946
Zr 1.685 2.535 8.842
Fe 0.000 2.535 7.071
Fe 1.685 0.000 2.147
```

Size of the total moment   0.898 μB per cell
Density   7.4 g cm⁻³

Verdict on stability: *A* comes out at the bottom.

*A*
Below is Li2MnFe at its PBEsol-relaxed geometry, with properties calculated at the SCAN level.

Structure (extended XYZ):
```
16
Lattice="5.812 0.000 0.000 0.000 5.812 0.000 0.000 0.000 5.812" Properties=species:S:1:pos:R:3 pbc="T T T"
Li 1.453 1.453 1.453
Li 1.453 1.453 4.359
Li 1.453 4.359 1.453
Li 1.453 4.359 4.359
Li 4.359 1.453 1.453
Li 4.359 1.453 4.359
Li 4.359 4.359 1.453
Li 4.359 4.359 4.359
Mn 0.000 0.000 0.000
Mn 0.000 2.906 2.906
Mn 2.906 0.000 2.906
Mn 2.906 2.906 0.000
Fe 0.000 0.000 2.906
Fe 0.000 2.906 0.000
Fe 2.906 0.000 0.000
Fe 2.906 2.906 2.906
```

Size of the total moment   25.489 μB per cell
Density   4.2 g cm⁻³

*B*
Below is Li2MnFe at its PBEsol-relaxed geometry, with properties calculated at the SCAN level.

Structure (extended XYZ):
```
8
Lattice="4.494 0.000 0.000 0.000 8.689 0.000 0.000 0.000 2.287" Properties=species:S:1:pos:R:3 pbc="T T T"
Li 1.123 2.172 0.000
Li 1.123 6.516 0.000
Li 3.370 2.172 0.000
Li 3.370 6.516 0.000
Mn 0.000 0.000 1.144
Mn 2.247 4.344 1.144
Fe 0.000 4.344 1.144
Fe 2.247 0.000 1.144
```

Size of the total moment   2.620 μB per cell
Density   4.6 g cm⁻³

*C*
Below is Li2MnFe at its PBEsol-relaxed geometry, with properties calculated at the SCAN level.

Structure (extended XYZ):
```
16
Lattice="5.636 0.000 0.000 0.000 5.636 0.000 0.000 0.000 5.636" Properties=species:S:1:pos:R:3 pbc="T T T"
Li 0.000 0.000 0.000
Li 0.000 2.818 2.818
Li 1.409 1.409 1.409
Li 1.409 4.227 4.227
Li 2.818 0.000 2.818
Li 2.818 2.818 0.000
Li 4.227 1.409 4.227
Li 4.227 4.227 1.409
Mn 1.409 1.409 4.227
Mn 1.409 4.227 1.409
Mn 4.227 1.409 1.409
Mn 4.227 4.227 4.227
Fe 0.000 0.000 2.818
Fe 0.000 2.818 0.000
Fe 2.818 0.000 0.000
Fe 2.818 2.818 2.818
```

Size of the total moment   3.599 μB per cell
Density   4.6 g cm⁻³

*D*
Below is Li2MnFe at its PBEsol-relaxed geometry, with properties calculated at the SCAN level.

Structure (extended XYZ):
```
4
Lattice="2.434 0.000 0.000 0.000 3.515 0.000 0.000 0.000 5.662" Properties=species:S:1:pos:R:3 pbc="T T T"
Li 0.000 0.000 0.000
Li 1.217 1.757 1.517
Mn 0.000 0.000 3.174
Fe 1.217 1.757 4.024
```

Size of the total moment   1.144 μB per cell
Density   4.3 g cm⁻³

Verdict on stability: *B* comes out at the bottom.